This record from Alexandria describes crystalline PmDy2Ho6Tm at its relaxed geometry. The functional is PBE.

- Energy relative to the elements: 1.199 eV per formula unit
- DOS at the Fermi energy: 55.79 states/eV/cell
- Calculated total energy: -4.4694 eV per atom

Cell lengths 9.0218, 14.9637, 9.4841 Å; angles 90.00, 97.19, 90.00 degrees
Closest atoms and distances in Å follow each position.
Space group C2/c (No. 15)
Asymmetric unit:
Pm 0.0000 0.0243 0.2500 [4 per cell]  4 Dy 3.37-3.41, 4 Ho 3.55-3.67
Dy 0.2483 0.4473 0.4541 [8 per cell]  6 Ho 3.24-3.58, 2 Pm 3.37-3.41, 1 Tm 3.50
Ho 0.0625 0.1873 0.9430 [8 per cell]  7 Ho 3.38-3.69, 1 Dy 3.49, 1 Pm 3.67
Ho 0.1006 0.3918 0.1183 [8 per cell]  4 Ho 3.20-3.48, 3 Dy 3.24-3.40, 2 Tm 3.39-3.51
Ho 0.2078 0.2250 0.3157 [8 per cell]  3 Ho 3.20-3.56, 2 Dy 3.37-3.58, 1 Tm 3.44, 1 Pm 3.55
Tm 0.0000 0.4096 0.7500 [4 per cell]  6 Ho 3.39-3.51, 2 Dy 3.50